Run A
Ce2AlPt3 | PBE-GGA | relaxed

a b c (Å): 5.788 5.788 8.508
angles (deg): 104.46 104.46 105.41
Site moments in Bohr magnetons follow the coordinates.
Fractional positions:
Ce 0.250 0.750 0.500  0.14
Ce 0.759 0.759 0.000  0.28
Ce 0.750 0.250 0.500  0.14
Ce 0.241 0.241 0.000  0.28
Al 0.668 0.668 0.337  0.00
Al 0.332 0.332 0.663  0.00
Pt 0.359 0.819 0.178  -0.01
Pt 0.181 0.641 0.822  -0.01
Pt 0.641 0.181 0.822  -0.01
Pt 0.819 0.359 0.178  -0.01
Pt 0.172 0.172 0.345  0.00
Pt 0.828 0.828 0.655  0.00

Results
As for the space-group type: Fmmm, No. 69. The total magnetic moment is 0.51 μB per formula unit.



Run B
Ce2AlPt3 | PBE-GGA | relaxed

a b c (Å): 5.293 5.293 5.293
angles (deg): 64.33 64.33 64.33
Site moments in Bohr magnetons follow the coordinates.
Fractional positions:
Ce 0.383 0.383 0.383  0.43
Ce 0.617 0.617 0.617  0.43
Al 0.000 0.000 0.000  0.00
Pt 0.000 0.000 0.500  -0.01
Pt 0.500 0.000 0.000  -0.01
Pt 0.000 0.500 0.000  -0.01

Results
As for the space-group type: R-3m, No. 166. The total magnetic moment is 0.96 μB per formula unit.



Energetically preferred structure: run B | next structure: +62 meV per atom



Run A
Ce2AlPt6 | PBE-GGA | relaxed

a b c (Å): 5.970 5.699 5.699
angles (deg): 60.00 90.00 90.00
Site moments in Bohr magnetons follow the coordinates.
Fractional positions:
Ce 0.827 0.667 0.667  0.41
Ce 0.173 0.333 0.333  0.41
Al 0.000 0.000 0.000  0.00
Pt 0.308 0.344 0.828  -0.01
Pt 0.308 0.828 0.828  -0.01
Pt 0.308 0.828 0.344  -0.01
Pt 0.692 0.656 0.172  -0.01
Pt 0.692 0.172 0.172  -0.01
Pt 0.692 0.172 0.656  -0.01

Results
As for the space-group type: P-3m1, No. 164. The total magnetic moment is 0.83 μB per formula unit.



Run B
Ce2AlPt6 | PBE-GGA | relaxed

a b c (Å): 5.678 5.634 6.302
angles (deg): 77.95 90.00 120.26
Site moments in Bohr magnetons follow the coordinates.
Fractional positions:
Ce 0.644 0.287 0.151  0.46
Ce 0.356 0.713 0.849  0.46
Al 0.000 0.000 0.000  0.00
Pt 0.876 0.263 0.689  -0.01
Pt 0.876 0.752 0.698  -0.01
Pt 0.387 0.263 0.689  -0.01
Pt 0.124 0.737 0.311  -0.01
Pt 0.124 0.248 0.302  -0.01
Pt 0.613 0.737 0.311  -0.01

Results
As for the space-group type: C2/m, No. 12. The total magnetic moment is 0.98 μB per formula unit.



Energetically preferred structure: run A | next structure: +19 meV per atom



Run A
CeAl4Pt2 | PBE-GGA | relaxed

a b c (Å): 4.327 6.684 17.276
angles (deg): 90.00 90.00 90.00
Fractional positions:
Pt 0.250 0.755 0.538
Pt 0.750 0.245 0.462
Pt 0.750 0.255 0.962
Pt 0.250 0.745 0.038
Pt 0.250 0.970 0.783
Pt 0.750 0.030 0.217
Pt 0.750 0.470 0.717
Pt 0.250 0.530 0.283
Al 0.250 0.273 0.693
Al 0.750 0.727 0.307
Al 0.750 0.773 0.807
Al 0.250 0.227 0.193
Al 0.250 0.673 0.685
Al 0.750 0.327 0.315
Al 0.750 0.173 0.815
Al 0.250 0.827 0.185
Al 0.250 0.166 0.535
Al 0.750 0.834 0.465
Al 0.750 0.666 0.965
Al 0.250 0.334 0.035
Al 0.250 0.492 0.429
Al 0.750 0.508 0.571
Al 0.750 0.992 0.071
Al 0.250 0.008 0.929
Ce 0.750 0.988 0.638
Ce 0.250 0.012 0.362
Ce 0.250 0.488 0.862
Ce 0.750 0.512 0.138

Results
As for the space-group type: Pnma, No. 62. The total magnetic moment is 0.00 μB per formula unit.



Run B
CeAl4Pt2 | PBE-GGA | relaxed

a b c (Å): 4.171 7.790 7.790
angles (deg): 90.00 90.00 90.00
Site moments in Bohr magnetons follow the coordinates.
Fractional positions:
Ce 0.500 0.000 0.000  0.59
Ce 0.000 0.500 0.500  0.59
Al 0.000 0.085 0.336  0.00
Al 0.000 0.915 0.664  0.00
Al 0.500 0.164 0.585  0.00
Al 0.500 0.836 0.415  0.00
Al 0.500 0.415 0.836  0.00
Al 0.500 0.585 0.164  0.00
Al 0.000 0.336 0.085  0.00
Al 0.000 0.664 0.915  0.00
Pt 0.000 0.218 0.782  -0.01
Pt 0.000 0.782 0.218  -0.01
Pt 0.500 0.718 0.718  -0.01
Pt 0.500 0.282 0.282  -0.01

Results
As for the space-group type: P4_2/mnm, No. 136. The total magnetic moment is 0.64 μB per formula unit.



Energetically preferred structure: run A | next structure: +85 meV per atom



Run A
CeAl5Pt3 | PBE-GGA | relaxed

a b c (Å): 4.138 7.331 20.792
angles (deg): 90.00 90.00 90.00
Site moments in Bohr magnetons follow the coordinates.
Fractional positions:
Ce 0.250 0.120 0.641  0.45
Ce 0.750 0.880 0.359  0.45
Ce 0.250 0.380 0.141  0.45
Ce 0.750 0.620 0.859  0.45
Al 0.750 0.358 0.382  0.00
Al 0.750 0.885 0.984  0.00
Al 0.750 0.684 0.201  0.00
Al 0.250 0.869 0.493  0.00
Al 0.250 0.631 0.993  0.00
Al 0.250 0.316 0.799  0.00
Al 0.750 0.069 0.207  0.00
Al 0.250 0.642 0.618  0.00
Al 0.250 0.569 0.293  0.00
Al 0.250 0.184 0.299  0.00
Al 0.750 0.142 0.882  0.00
Al 0.250 0.931 0.793  0.00
Al 0.750 0.369 0.007  0.00
Al 0.750 0.615 0.484  0.00
Al 0.750 0.131 0.507  0.00
Al 0.250 0.115 0.016  0.00
Al 0.250 0.858 0.118  0.00
Al 0.250 0.385 0.516  0.00
Al 0.750 0.431 0.707  0.00
Al 0.750 0.816 0.701  0.00
Pt 0.750 0.378 0.261  0.00
Pt 0.250 0.878 0.239  0.00
Pt 0.250 0.622 0.739  0.00
Pt 0.750 0.122 0.761  0.00
Pt 0.250 0.159 0.426  0.00
Pt 0.750 0.418 0.584  0.00
Pt 0.750 0.082 0.084  0.00
Pt 0.250 0.918 0.916  0.00
Pt 0.750 0.841 0.574  0.00
Pt 0.250 0.341 0.926  0.00
Pt 0.750 0.659 0.074  0.00
Pt 0.250 0.582 0.416  0.00

Results
As for the space-group type: Pnma, No. 62. The total magnetic moment is 0.50 μB per formula unit.



Run B
CeAl5Pt3 | PBE-GGA | relaxed

a b c (Å): 4.083 6.794 12.580
angles (deg): 90.00 90.00 107.49
Site moments in Bohr magnetons follow the coordinates.
Fractional positions:
Ce 0.837 0.674 0.750  0.86
Ce 0.163 0.326 0.250  0.86
Al 0.800 0.601 0.437  0.00
Al 0.200 0.399 0.937  0.00
Al 0.000 0.000 0.500  0.00
Al 0.000 0.000 0.000  0.00
Al 0.443 0.885 0.149  0.00
Al 0.557 0.115 0.851  0.00
Al 0.557 0.115 0.649  0.00
Al 0.800 0.601 0.063  0.00
Al 0.200 0.399 0.563  0.00
Al 0.443 0.885 0.351  0.00
Pt 0.388 0.776 0.955  -0.01
Pt 0.876 0.752 0.250  -0.01
Pt 0.388 0.776 0.545  -0.01
Pt 0.612 0.224 0.455  -0.01
Pt 0.124 0.248 0.750  -0.01
Pt 0.612 0.224 0.045  -0.01

Results
As for the space-group type: Cmcm, No. 63. The total magnetic moment is 0.95 μB per formula unit.



Energetically preferred structure: run A | next structure: +113 meV per atom



Run A
CeAlZnPt | PBE-GGA | relaxed

a b c (Å): 4.432 4.432 5.587
angles (deg): 66.63 66.63 60.00
Site moments in Bohr magnetons follow the coordinates.
Fractional positions:
Ce 0.800 0.800 0.601  0.79
Al 0.597 0.597 0.208  0.01
Zn 0.336 0.336 0.993  0.01
Pt 0.993 0.993 0.021  0.00

Results
As for the space-group type: R3m, No. 160. The total magnetic moment is 1.12 μB per formula unit.



Run B
CeAlZnPt | PBE-GGA | relaxed

a b c (Å): 4.764 4.764 4.764
angles (deg): 60.00 60.00 60.00
Fractional positions:
Zn 0.250 0.250 0.250
Ce 0.000 0.000 0.000
Pt 0.750 0.750 0.750
Al 0.500 0.500 0.500

Results
As for the space-group type: F-43m, No. 216. The total magnetic moment is 0.00 μB per formula unit.



Energetically preferred structure: run B | next structure: +22 meV per atom



Run A
CePuAl6 | PBE-GGA | relaxed

a b c (Å): 4.683 6.251 6.251
angles (deg): 119.99 90.00 90.00
Site moments in Bohr magnetons follow the coordinates.
Fractional positions:
Ce 0.000 0.083 0.917  -0.42
Pu 0.500 0.417 0.583  5.20
Al 0.000 0.055 0.402  0.00
Al 0.000 0.598 0.945  0.00
Al 0.000 0.598 0.402  0.00
Al 0.500 0.450 0.100  -0.01
Al 0.500 0.900 0.550  -0.01
Al 0.500 0.900 0.100  -0.01

Results
As for the space-group type: P-6m2, No. 187. The total magnetic moment is 4.97 μB per formula unit.



Run B
CePuAl6 | PBE-GGA | relaxed

a b c (Å): 4.455 6.090 5.971
angles (deg): 90.00 90.00 90.00
Site moments in Bohr magnetons follow the coordinates.
Fractional positions:
Ce 0.500 0.395 0.500  -0.53
Pu 0.000 0.605 0.000  -5.29
Al 0.500 0.862 0.248  0.00
Al 0.000 0.134 0.759  0.01
Al 0.000 0.134 0.241  0.01
Al 0.500 0.862 0.752  0.00
Al 0.000 0.755 0.500  0.01
Al 0.500 0.253 0.000  0.00

Results
As for the space-group type: Pmm2, No. 25. The total magnetic moment is 6.46 μB per formula unit.



Energetically preferred structure: run A | next structure: +65 meV per atom



Run A
Ce2PuAl | PBE-GGA | relaxed

a b c (Å): 5.202 5.202 5.202
angles (deg): 60.00 60.00 60.00
Site moments in Bohr magnetons follow the coordinates.
Fractional positions:
Al 0.500 0.500 0.500  -0.06
Ce 0.250 0.250 0.250  0.86
Ce 0.750 0.750 0.750  0.86
Pu 0.000 0.000 0.000  5.68

Results
As for the space-group type: Fm-3m, No. 225. The total magnetic moment is 8.10 μB per formula unit.



Run B
Ce2PuAl | PBE-GGA | relaxed

a b c (Å): 3.814 3.814 6.873
angles (deg): 90.00 90.00 90.00
Site moments in Bohr magnetons follow the coordinates.
Fractional positions:
Al 0.500 0.500 0.000  -0.02
Ce 0.000 0.000 0.759  0.68
Ce 0.000 0.000 0.241  0.68
Pu 0.500 0.500 0.500  5.45

Results
As for the space-group type: P4/mmm, No. 123. The total magnetic moment is 7.42 μB per formula unit.



Run C
Ce2PuAl | PBE-GGA | relaxed

a b c (Å): 4.464 4.718 4.718
angles (deg): 90.00 90.00 90.00
Site moments in Bohr magnetons follow the coordinates.
Fractional positions:
Al 0.500 0.500 0.500  -0.03
Ce 0.000 0.000 0.500  0.74
Ce 0.000 0.500 0.000  0.74
Pu 0.500 0.000 0.000  5.44

Results
As for the space-group type: P4/mmm, No. 123. The total magnetic moment is 7.54 μB per formula unit.



Energetically preferred structure: run C | next structure: +44 meV per atom



Run A
CePuAl2 | PBE-GGA | relaxed

a b c (Å): 4.654 4.361 4.361
angles (deg): 90.00 90.00 90.00
Site moments in Bohr magnetons follow the coordinates.
Fractional positions:
Al 0.000 0.000 0.500  -0.03
Al 0.000 0.500 0.000  -0.03
Ce 0.500 0.000 0.000  0.70
Pu 0.500 0.500 0.500  5.39

Results
As for the space-group type: P4/mmm, No. 123. The total magnetic moment is 6.45 μB per formula unit.



Run B
CePuAl2 | PBE-GGA | relaxed

a b c (Å): 6.023 6.346 6.346
angles (deg): 58.86 61.67 61.67
Site moments in Bohr magnetons follow the coordinates.
Fractional positions:
Ce 0.250 0.231 0.269  0.52
Ce 0.750 0.769 0.731  0.52
Pu 0.750 0.209 0.291  5.20
Pu 0.250 0.791 0.709  5.20
Al 0.237 0.263 0.763  -0.03
Al 0.263 0.737 0.237  -0.03
Al 0.763 0.737 0.237  -0.03
Al 0.737 0.263 0.763  -0.03

Results
As for the space-group type: Imma, No. 74. The total magnetic moment is 5.92 μB per formula unit.



Run C
CePuAl2 | PBE-GGA | relaxed

a b c (Å): 3.077 3.077 9.286
angles (deg): 90.00 90.00 90.00
Site moments in Bohr magnetons follow the coordinates.
Fractional positions:
Al 0.000 0.000 0.754  -0.03
Al 0.000 0.000 0.246  -0.03
Ce 0.500 0.500 0.500  -0.17
Pu 0.500 0.500 0.000  5.33

Results
As for the space-group type: P4/mmm, No. 123. The total magnetic moment is 5.23 μB per formula unit.



Energetically preferred structure: run B | next structure: +10 meV per atom